Here is a geometry-optimized CrSbMoO6 structure from the Alexandria database. Energies are from GGA+U.

## Properties
E   -126.49 eV for the cell shown

Lattice parameters (Å, degrees): 5.132 5.132 9.037 90.00 90.00 120.00
Each line ends with the local moment (μB).
Positions (direct):
O1 0.001 0.338 0.631  -0.01
Sb1 0.667 0.333 0.250  0.04
O2 0.337 0.999 0.631  -0.01
O3 0.662 0.663 0.631  -0.01
O4 0.662 0.999 0.869  -0.01
O5 0.338 0.337 0.369  -0.01
Mo1 0.000 0.000 0.500  1.92
O6 0.663 0.662 0.131  -0.01
O7 0.338 0.001 0.131  -0.01
O8 0.001 0.663 0.869  -0.01
O9 0.663 0.001 0.369  -0.01
Sb2 0.333 0.667 0.750  0.04
Cr1 0.667 0.333 0.750  2.99
Mo2 0.000 0.000 0.000  1.92
O10 0.999 0.337 0.131  -0.01
O11 0.999 0.662 0.369  -0.01
Cr2 0.333 0.667 0.250  2.99
O12 0.337 0.338 0.869  -0.01